VASP calculation (PBE) on crystalline NaErSc at its relaxed geometry.

Values from the calculation:
Space-group type: P3m1 (156)
DFT formation energy: 4.37 kcal/mol of atoms
Relative energy among the computed polymorphs: 0 meV per atom
Spin magnetization: 0.744 μB/cell

a = 3.3931 Å, b = 3.3931 Å, c = 8.9465 Å
α = 90.00°, β = 90.00°, γ = 120.00°
Atoms (fractional coordinates):
Na  0.0000  0.0000  0.0000
Er  0.6667  0.3333  0.3634
Sc  0.3333  0.6667  0.6533



VASP calculation (PBE) on crystalline Na3ErSc3Se8 at its relaxed geometry.

Values from the calculation:
Space-group type: R-3m (166)
ΔE_f (raw): -1.54 eV/atom
Spin magnetization: 0.000 μB/cell

a = 8.3936 Å, b = 8.3936 Å, c = 8.3936 Å
α = 55.73°, β = 55.73°, γ = 55.73°
Atoms (fractional coordinates):
Na  0.0000  0.5000  0.5000
Na  0.5000  0.0000  0.5000
Na  0.5000  0.5000  0.0000
Er  0.5000  0.5000  0.5000
Sc  0.0000  0.0000  0.5000
Sc  0.0000  0.5000  0.0000
Sc  0.5000  0.0000  0.0000
Se  0.2281  0.7471  0.7471
Se  0.2395  0.2395  0.2395
Se  0.2529  0.2529  0.7719
Se  0.2529  0.7719  0.2529
Se  0.7471  0.2281  0.7471
Se  0.7471  0.7471  0.2281
Se  0.7605  0.7605  0.7605
Se  0.7719  0.2529  0.2529



VASP calculation (PBE) on crystalline Na2ErScSe4 at its relaxed geometry.

Values from the calculation:
Space-group type: P2/m (10)
ΔE_f (raw): -1.64 eV/atom
Spin magnetization: 0.000 μB/cell

a = 6.9788 Å, b = 4.0320 Å, c = 7.3579 Å
α = 90.00°, β = 108.45°, γ = 90.00°
Atoms (fractional coordinates):
Na  0.0000  0.0000  0.0000
Na  0.5000  0.5000  0.0000
Er  0.0000  0.5000  0.5000
Sc  0.5000  0.0000  0.5000
Se  0.2508  0.0000  0.7255
Se  0.2685  0.5000  0.2796
Se  0.7315  0.5000  0.7204
Se  0.7492  0.0000  0.2745



VASP calculation (PBE) on crystalline NaEr4ScSe8 at its relaxed geometry.

Values from the calculation:
Space-group type: R3m (160)
ΔE_f (raw): -1.72 eV/atom
Spin magnetization: 0.000 μB/cell

a = 8.2767 Å, b = 8.2767 Å, c = 8.2767 Å
α = 60.79°, β = 60.79°, γ = 60.79°
Atoms (fractional coordinates):
Na  0.0000  0.0000  0.0000
Er  0.1076  0.6269  0.6269
Er  0.2450  0.2450  0.2450
Er  0.6269  0.1076  0.6269
Er  0.6269  0.6269  0.1076
Sc  0.6290  0.6290  0.6290
Se  0.3795  0.3795  0.3795
Se  0.3849  0.3849  0.8441
Se  0.3849  0.8441  0.3849
Se  0.4050  0.8547  0.8547
Se  0.8441  0.3849  0.3849
Se  0.8547  0.4050  0.8547
Se  0.8547  0.8547  0.4050
Se  0.8630  0.8630  0.8630



VASP calculation (PBE) on crystalline NaErSc2Se4 at its relaxed geometry.

Values from the calculation:
Space-group type: P2/m (10)
ΔE_f (raw): -1.63 eV/atom
Spin magnetization: 0.000 μB/cell

a = 6.8737 Å, b = 3.9364 Å, c = 6.9478 Å
α = 90.00°, β = 108.76°, γ = 90.00°
Atoms (fractional coordinates):
Na  0.0000  0.0000  0.0000
Er  0.5000  0.5000  0.0000
Sc  0.0000  0.5000  0.5000
Sc  0.5000  0.0000  0.5000
Se  0.2469  0.0000  0.7388
Se  0.2588  0.5000  0.2658
Se  0.7412  0.5000  0.7342
Se  0.7531  0.0000  0.2612



VASP calculation (PBE) on crystalline NaEr3Sc2Se6 at its relaxed geometry.

Values from the calculation:
Space-group type: C2/m (12)
ΔE_f (raw): -1.65 eV/atom
Spin magnetization: 0.000 μB/cell

a = 8.9334 Å, b = 8.9334 Å, c = 8.0278 Å
α = 102.68°, β = 102.68°, γ = 25.83°
Atoms (fractional coordinates):
Na  0.0000  0.0000  0.0000
Er  0.0000  0.0000  0.5000
Er  0.3367  0.3367  0.1734
Er  0.6633  0.6633  0.8266
Sc  0.3300  0.3300  0.6516
Sc  0.6700  0.6700  0.3484
Se  0.1679  0.1679  0.5800
Se  0.1692  0.1692  0.0922
Se  0.4949  0.4949  0.7458
Se  0.5051  0.5051  0.2542
Se  0.8308  0.8308  0.9078
Se  0.8321  0.8321  0.4200



VASP calculation (PBE) on crystalline NaEr2ScSe4 at its relaxed geometry.

Values from the calculation:
Space-group type: P2/m (10)
ΔE_f (raw): -1.65 eV/atom
Spin magnetization: 0.001 μB/cell

a = 6.9390 Å, b = 4.0014 Å, c = 7.0220 Å
α = 90.00°, β = 109.10°, γ = 90.00°
Atoms (fractional coordinates):
Na  0.0000  0.0000  0.0000
Er  0.5000  0.0000  0.5000
Er  0.5000  0.5000  0.0000
Sc  0.0000  0.5000  0.5000
Se  0.2433  0.0000  0.7434
Se  0.2501  0.5000  0.2565
Se  0.7499  0.5000  0.7435
Se  0.7567  0.0000  0.2566



VASP calculation (PBE) on crystalline NaEr3Sc2Te6 at its relaxed geometry.

Values from the calculation:
Space-group type: C2/m (12)
ΔE_f (raw): -1.20 eV/atom
Spin magnetization: 0.000 μB/cell

a = 9.5975 Å, b = 9.5975 Å, c = 8.6189 Å
α = 102.98°, β = 102.98°, γ = 25.78°
Atoms (fractional coordinates):
Na  0.0000  0.0000  0.0000
Er  0.0000  0.0000  0.5000
Er  0.3379  0.3379  0.1740
Er  0.6620  0.6620  0.8260
Sc  0.3304  0.3304  0.6519
Sc  0.6696  0.6696  0.3481
Te  0.1682  0.1682  0.5802
Te  0.1700  0.1700  0.0930
Te  0.4943  0.4943  0.7463
Te  0.5057  0.5057  0.2537
Te  0.8300  0.8300  0.9070
Te  0.8318  0.8318  0.4198



VASP calculation (PBE) on crystalline Na4Er3ScTe8 at its relaxed geometry.

Values from the calculation:
Space-group type: R-3m (166)
ΔE_f (raw): -1.27 eV/atom
Spin magnetization: 0.000 μB/cell

a = 9.0790 Å, b = 9.0790 Å, c = 9.0790 Å
α = 57.42°, β = 57.42°, γ = 57.42°
Atoms (fractional coordinates):
Na  0.0000  0.0000  0.0000
Na  0.0000  0.5000  0.5000
Na  0.5000  0.0000  0.5000
Na  0.5000  0.5000  0.0000
Er  0.0000  0.0000  0.5000
Er  0.0000  0.5000  0.0000
Er  0.5000  0.0000  0.0000
Sc  0.5000  0.5000  0.5000
Te  0.2439  0.2439  0.2439
Te  0.2504  0.7379  0.7379
Te  0.2621  0.2621  0.7496
Te  0.2621  0.7496  0.2621
Te  0.7379  0.2504  0.7379
Te  0.7379  0.7379  0.2504
Te  0.7496  0.2621  0.2621
Te  0.7561  0.7561  0.7561



VASP calculation (PBE) on crystalline NaEr3Se4 at its relaxed geometry.

Values from the calculation:
Space-group type: Cmmm (65)
ΔE_f (raw): -1.70 eV/atom
Spin magnetization: 0.000 μB/cell

a = 8.2107 Å, b = 11.4967 Å, c = 4.0335 Å
α = 90.00°, β = 90.00°, γ = 90.00°
Atoms (fractional coordinates):
Na  0.0000  0.0000  0.0000
Na  0.5000  0.5000  0.0000
Er  0.0000  0.5000  0.0000
Er  0.2500  0.2500  0.5000
Er  0.2500  0.7500  0.5000
Er  0.5000  0.0000  0.0000
Er  0.7500  0.2500  0.5000
Er  0.7500  0.7500  0.5000
Se  0.0000  0.2505  0.0000
Se  0.0000  0.7495  0.0000
Se  0.2453  0.5000  0.5000
Se  0.2547  0.0000  0.5000
Se  0.5000  0.2495  0.0000
Se  0.5000  0.7505  0.0000
Se  0.7453  0.0000  0.5000
Se  0.7547  0.5000  0.5000



VASP calculation (PBE) on crystalline NaErSe at its relaxed geometry.

Values from the calculation:
Space-group type: Amm2 (38)
ΔE_f (raw): -0.62 eV/atom
Spin magnetization: 0.236 μB/cell

a = 14.1187 Å, b = 3.7745 Å, c = 6.5304 Å
α = 90.00°, β = 90.00°, γ = 90.00°
Atoms (fractional coordinates):
Na  0.1270  0.0000  0.0000
Na  0.1270  0.5000  0.5000
Na  0.8730  0.0000  0.0000
Na  0.8730  0.5000  0.5000
Er  0.3645  0.0000  0.6641
Er  0.3645  0.5000  0.1641
Er  0.6355  0.0000  0.6641
Er  0.6355  0.5000  0.1641
Se  0.0000  0.0000  0.6665
Se  0.0000  0.5000  0.1665
Se  0.5000  0.0000  0.9975
Se  0.5000  0.5000  0.4975



VASP calculation (PBE) on crystalline NaEr5Se8 at its relaxed geometry.

Values from the calculation:
Space-group type: F-43m (216)
ΔE_f (raw): -1.76 eV/atom
Spin magnetization: 0.000 μB/cell

a = 8.3935 Å, b = 8.3935 Å, c = 8.3935 Å
α = 60.00°, β = 60.00°, γ = 60.00°
Atoms (fractional coordinates):
Na  0.0000  0.0000  0.0000
Er  0.3699  0.3699  0.3699
Er  0.3699  0.3699  0.8902
Er  0.3699  0.8902  0.3699
Er  0.7500  0.7500  0.7500
Er  0.8902  0.3699  0.3699
Se  0.1350  0.1350  0.1350
Se  0.1350  0.1350  0.5950
Se  0.1350  0.5950  0.1350
Se  0.1494  0.6169  0.6169
Se  0.5950  0.1350  0.1350
Se  0.6169  0.1494  0.6169
Se  0.6169  0.6169  0.1494
Se  0.6169  0.6169  0.6169